Entry 1:
# Ta2PbO6, optimized geometry, DFT GGA-PBEsol
# - Raw formation energy: -2.50 eV/atom
# - Theoretical density: 9.071 Mg/m³
# - E_tot: -9.23 eV/atom
# - Volume: 13.53 Å³ per atom
# - Relative energy among the computed polymorphs: 42 meV/atom
# - Total moment: 0.00 μB/f.u.
data_Ta2PbO6
_chemical_formula_sum 'Ta8 Pb4 O24'
_symmetry_space_group_name_H-M 'P b c n'
_symmetry_Int_Tables_number 60
_cell_length_a 15.7366
_cell_length_b 5.8797
_cell_length_c 5.2636
_cell_angle_alpha 90.00
_cell_angle_beta 90.00
_cell_angle_gamma 90.00
loop_
_symmetry_equiv_pos_as_xyz
'x,y,z'
'-x,-y,-z'
'-x+1/2,-y+1/2,z+1/2'
'x+1/2,y+1/2,-z+1/2'
'x+1/2,-y+1/2,-z'
'-x+1/2,y+1/2,z'
'-x,y,-z+1/2'
'x,-y,z+1/2'
loop_
_atom_site_label
_atom_site_type_symbol
_atom_site_fract_x
_atom_site_fract_y
_atom_site_fract_z
Ta1 Ta 0.1705 0.1766 0.1980
Pb1 Pb 0.0000 0.2836 0.7500
O1 O 0.0935 0.3926 0.1088
O2 O 0.1107 0.0708 0.4968
O3 O 0.2429 0.1415 0.8729

---

Entry 2:
# Ta8Pb6O25, optimized geometry, DFT GGA-PBEsol
# - Raw formation energy: -2.40 eV/atom
# - Theoretical density: 8.778 Mg/m³
# - E_tot: -8.96 eV/atom
# - Volume: 14.99 Å³ per atom
# - Total moment: 0.00 μB/f.u.
data_Ta8Pb6O25
_chemical_formula_sum 'Ta16 Pb12 O50'
_symmetry_space_group_name_H-M 'C 1 2 1'
_symmetry_Int_Tables_number 5
_cell_length_a 10.5297
_cell_length_b 10.5861
_cell_length_c 10.4902
_cell_angle_alpha 90.00
_cell_angle_beta 90.12
_cell_angle_gamma 90.00
loop_
_symmetry_equiv_pos_as_xyz
'x,y,z'
'-x,y,-z'
'x+1/2,y+1/2,z'
'-x+1/2,y+1/2,-z'
loop_
_atom_site_label
_atom_site_type_symbol
_atom_site_fract_x
_atom_site_fract_y
_atom_site_fract_z
Ta1 Ta 0.1221 0.0000 0.3733
Ta2 Ta 0.1252 0.2475 0.1233
Ta3 Ta 0.1265 0.7494 0.6260
Ta4 Ta 0.1297 0.4969 0.8780
Pb1 Pb 0.1073 0.7535 0.1116
Pb2 Pb 0.1262 0.2495 0.6337
Pb3 Pb 0.1279 0.4986 0.3667
O1 O 0.0000 0.0670 0.5000
O2 O 0.0000 0.1960 0.0000
O3 O 0.0000 0.3741 0.5000
O4 O 0.9996 0.3764 0.1958
O5 O 0.0000 0.5599 0.0000
O6 O 0.0000 0.6811 0.5000
O7 O 0.0034 0.8707 0.3153
O8 O 0.0608 0.6256 0.7516
O9 O 0.0620 0.1275 0.2532
O10 O 0.1894 0.3732 0.9986
O11 O 0.1924 0.8747 0.4995
O12 O 0.2446 0.3134 0.2568
O13 O 0.2445 0.6304 0.9348
O14 O 0.2491 0.6224 0.5571
O15 O 0.2501 0.4370 0.7492

---

Entry 3:
# Ta4PbO11, optimized geometry, DFT GGA-PBEsol
# - Raw formation energy: -2.69 eV/atom
# - Theoretical density: 8.865 Mg/m³
# - E_tot: -9.68 eV/atom
# - Volume: 12.96 Å³ per atom
# - Total moment: 0.00 μB/f.u.
data_Ta4PbO11
_chemical_formula_sum 'Ta24 Pb6 O66'
_symmetry_space_group_name_H-M 'R 3 2'
_symmetry_Int_Tables_number 155
_symmetry_space_group_name_Hall 'R 3 2"'
_cell_length_a 6.2278
_cell_length_b 6.2278
_cell_length_c 37.0393
_cell_angle_alpha 90.00
_cell_angle_beta 90.00
_cell_angle_gamma 120.00
loop_
_atom_site_label
_atom_site_type_symbol
_atom_site_fract_x
_atom_site_fract_y
_atom_site_fract_z
Ta1 Ta 0.0000 0.0000 0.2495
Ta2 Ta 0.0000 0.3598 0.0000
Ta3 Ta 0.0000 0.6296 0.5000
Pb1 Pb 0.0000 0.0000 0.4182
O1 O 0.0000 0.0000 0.1559
O2 O 0.0000 0.0000 0.3441
O3 O 0.0000 0.2520 0.5000
O4 O 0.0000 0.7538 0.0000
O5 O 0.0208 0.7534 0.7811
O6 O 0.0512 0.2802 0.2816

---

Entry 4:
# Ta2PbO6, optimized geometry, DFT GGA-PBEsol
# - Raw formation energy: -2.54 eV/atom
# - Theoretical density: 9.218 Mg/m³
# - E_tot: -9.27 eV/atom
# - Volume: 13.31 Å³ per atom
# - Relative energy among the computed polymorphs: 0 meV/atom
# - Total moment: 0.00 μB/f.u.
data_Ta2PbO6
_chemical_formula_sum 'Ta8 Pb4 O24'
_symmetry_space_group_name_H-M 'P n m a'
_symmetry_Int_Tables_number 62
_cell_length_a 11.0662
_cell_length_b 7.6448
_cell_length_c 5.6650
_cell_angle_alpha 90.00
_cell_angle_beta 90.00
_cell_angle_gamma 90.00
loop_
_symmetry_equiv_pos_as_xyz
'x,y,z'
'-x,-y,-z'
'-x+1/2,-y,z+1/2'
'x+1/2,y,-z+1/2'
'x+1/2,-y+1/2,-z+1/2'
'-x+1/2,y+1/2,z+1/2'
'-x,y+1/2,-z'
'x,-y+1/2,z'
loop_
_atom_site_label
_atom_site_type_symbol
_atom_site_fract_x
_atom_site_fract_y
_atom_site_fract_z
Ta1 Ta 0.1425 0.0033 0.0375
Pb1 Pb 0.0382 0.7500 0.5382
O1 O 0.0224 0.0358 0.7839
O2 O 0.1306 0.2500 0.1372
O3 O 0.1467 0.7500 0.9675
O4 O 0.2158 0.5489 0.3530

---

Entry 5:
# Ta6Pb4O19, optimized geometry, DFT GGA-PBEsol
# - Raw formation energy: -2.43 eV/atom
# - Theoretical density: 8.422 Mg/m³
# - E_tot: -9.02 eV/atom
# - Volume: 15.08 Å³ per atom
# - Relative energy among the computed polymorphs: 0 meV/atom
# - Total moment: 0.00 μB/f.u.
data_Ta6Pb4O19
_chemical_formula_sum 'Ta24 Pb16 O76'
_symmetry_space_group_name_H-M 'I m m a'
_symmetry_Int_Tables_number 74
_symmetry_space_group_name_Hall '-I 2b 2'
_cell_length_a 7.4282
_cell_length_b 22.3424
_cell_length_c 10.5427
_cell_angle_alpha 90.00
_cell_angle_beta 90.00
_cell_angle_gamma 90.00
loop_
_atom_site_label
_atom_site_type_symbol
_atom_site_fract_x
_atom_site_fract_y
_atom_site_fract_z
Ta1 Ta 0.0000 0.0000 0.0000
Ta2 Ta 0.0000 0.1654 0.0020
Ta3 Ta 0.2500 0.0818 0.7500
Ta4 Ta 0.2500 0.2500 0.2500
Pb1 Pb 0.0000 0.0000 0.5000
Pb2 Pb 0.0000 0.1659 0.4832
Pb3 Pb 0.2500 0.2500 0.7500
O1 O 0.0000 0.0805 0.6841
O2 O 0.0000 0.0837 0.0551
O3 O 0.0000 0.2500 0.3159
O4 O 0.0000 0.2500 0.5919
O5 O 0.0000 0.2500 0.9292
O6 O 0.1916 0.1887 0.1221
O7 O 0.1925 0.1469 0.8734
O8 O 0.1963 0.0210 0.8793

---

Entry 6:
# Ta6Pb4O19, optimized geometry, DFT GGA-PBEsol
# - Raw formation energy: -2.41 eV/atom
# - Theoretical density: 8.407 Mg/m³
# - E_tot: -8.99 eV/atom
# - Volume: 15.11 Å³ per atom
# - Relative energy among the computed polymorphs: 26 meV/atom
# - Total moment: 0.00 μB/f.u.
data_Ta6Pb4O19
_chemical_formula_sum 'Ta24 Pb16 O76'
_symmetry_space_group_name_H-M 'C 1 2/m 1'
_symmetry_Int_Tables_number 12
_cell_length_a 12.9319
_cell_length_b 7.4265
_cell_length_c 18.2503
_cell_angle_alpha 90.00
_cell_angle_beta 90.43
_cell_angle_gamma 90.00
loop_
_symmetry_equiv_pos_as_xyz
'x,y,z'
'-x,-y,-z'
'-x,y,-z'
'x,-y,z'
'x+1/2,y+1/2,z'
'-x+1/2,-y+1/2,-z'
'-x+1/2,y+1/2,-z'
'x+1/2,-y+1/2,z'
loop_
_atom_site_label
_atom_site_type_symbol
_atom_site_fract_x
_atom_site_fract_y
_atom_site_fract_z
Ta1 Ta 0.0000 0.0000 0.0000
Ta2 Ta 0.0000 0.5000 0.5000
Ta3 Ta 0.0841 0.2496 0.1690
Ta4 Ta 0.1652 0.5000 0.3361
Ta5 Ta 0.1666 0.0000 0.8291
Ta6 Ta 0.2500 0.2500 0.5000
Pb1 Pb 0.0000 0.0000 0.5000
Pb2 Pb 0.0000 0.5000 0.0000
Pb3 Pb 0.1540 0.5000 0.8224
Pb4 Pb 0.1871 0.0000 0.3254
Pb5 Pb 0.2500 0.2500 0.0000
O1 O 0.0370 0.5000 0.1508
O2 O 0.0449 0.5000 0.3973
O3 O 0.0638 0.1916 0.0622
O4 O 0.0636 0.1925 0.8159
O5 O 0.1026 0.3041 0.5186
O6 O 0.1104 0.2985 0.2729
O7 O 0.1265 0.0000 0.1913
O8 O 0.1273 0.0000 0.9399
O9 O 0.1637 0.5000 0.9379
O10 O 0.2034 0.0000 0.4750
O11 O 0.2129 0.0000 0.7316
O12 O 0.2274 0.3127 0.1438
O13 O 0.2297 0.3086 0.3958

---

Q: Which of these has the highest theoretical density?
A: number 4

---

Q: Which formula does entry 2 have?
A: Ta8Pb6O25

---

Repeat the fourth record exactly.
# Ta2PbO6, optimized geometry, DFT GGA-PBEsol
# - Raw formation energy: -2.54 eV/atom
# - Theoretical density: 9.218 Mg/m³
# - E_tot: -9.27 eV/atom
# - Volume: 13.31 Å³ per atom
# - Relative energy among the computed polymorphs: 0 meV/atom
# - Total moment: 0.00 μB/f.u.
data_Ta2PbO6
_chemical_formula_sum 'Ta8 Pb4 O24'
_symmetry_space_group_name_H-M 'P n m a'
_symmetry_Int_Tables_number 62
_cell_length_a 11.0662
_cell_length_b 7.6448
_cell_length_c 5.6650
_cell_angle_alpha 90.00
_cell_angle_beta 90.00
_cell_angle_gamma 90.00
loop_
_symmetry_equiv_pos_as_xyz
'x,y,z'
'-x,-y,-z'
'-x+1/2,-y,z+1/2'
'x+1/2,y,-z+1/2'
'x+1/2,-y+1/2,-z+1/2'
'-x+1/2,y+1/2,z+1/2'
'-x,y+1/2,-z'
'x,-y+1/2,z'
loop_
_atom_site_label
_atom_site_type_symbol
_atom_site_fract_x
_atom_site_fract_y
_atom_site_fract_z
Ta1 Ta 0.1425 0.0033 0.0375
Pb1 Pb 0.0382 0.7500 0.5382
O1 O 0.0224 0.0358 0.7839
O2 O 0.1306 0.2500 0.1372
O3 O 0.1467 0.7500 0.9675
O4 O 0.2158 0.5489 0.3530